VASP calculation (PBE) on NaPrHo2Te4 after structural relaxation.

Geometry as CIF:
```
data_NaPrHo2Te4
_chemical_formula_sum 'Na1 Pr1 Ho2 Te4'
_cell_length_a 7.697
_cell_length_b 4.382
_cell_length_c 7.741
_cell_angle_alpha 90.00
_cell_angle_beta 108.77
_cell_angle_gamma 90.00
_space_group_name_H-M_alt 'P 1 2/m 1'
_space_group_IT_number 10
_space_group_name_Hall '-P 2y'
loop_
_atom_site_label
_atom_site_fract_x
_atom_site_fract_y
_atom_site_fract_z
Na1 0.000 0.000 0.000
Pr1 0.500 0.500 0.000
Ho1 0.000 0.500 0.500
Ho2 0.500 0.000 0.500
Te1 0.242 0.000 0.738
Te2 0.252 0.500 0.262
```

uncorrected formation energy	-1.33	eV/atom